[1]
Here is LaSb3W after structural relaxation from Alexandria via LeMat-Bulk. Energies are from GGA-PBEsol.

## Properties
The formation energy (no corrections) comes out at 1906 meV per atom. The total magnetic moment is 4.15 μB/cell. The volume is 39.14 A^3/atom. For the density of states at the Fermi level, the calculation gives 5.98 states/eV/f.u.

The structure in POSCAR format:
```
LaSb3W
1.0
5.806 0.000 0.000
0.000 5.806 0.000
0.000 0.000 5.806
La Sb W
1 3 1
direct
0.000 0.000 0.000
0.000 0.000 0.500
0.000 0.500 0.000
0.500 0.000 0.000
0.500 0.500 0.500
```

[2]
Here is AlCr3 after structural relaxation from Alexandria via LeMat-Bulk. Energies are from GGA-PBEsol.

## Properties
The total magnetic moment is 0.00 μB/cell. The volume is 11.79 A^3/atom. For the total energy, the calculation gives -8.735 eV per atom. For the density of states at the Fermi level, the calculation gives 3.90 states/eV/f.u.

The structure in POSCAR format:
```
AlCr3
1.0
2.885 0.000 0.000
0.000 4.088 0.000
0.000 0.000 8.000
Al Cr
2 6
direct
0.000 0.000 0.000
0.500 0.500 0.500
0.000 0.000 0.500
0.000 0.500 0.234
0.000 0.500 0.766
0.500 0.000 0.266
0.500 0.000 0.734
0.500 0.500 0.000
```

[3]
Here is Cu2BH5O6 after structural relaxation from Alexandria via LeMat-Bulk. Energies are from GGA-PBEsol.

## Properties
The total magnetic moment is 8.03 μB/cell. The volume is 8.14 A^3/atom. For the total energy, the calculation gives -5.677 eV per atom. For the density of states at the Fermi level, the calculation gives 0.52 states/eV/f.u.

The structure in POSCAR format:
```
Cu2BH5O6
1.0
9.256 0.000 0.000
0.000 5.821 0.000
0.000 0.000 8.465
Cu B H O
8 4 20 24
direct
0.247 0.002 0.079
0.247 0.498 0.079
0.253 0.502 0.579
0.253 0.998 0.579
0.747 0.002 0.421
0.747 0.498 0.421
0.753 0.502 0.921
0.753 0.998 0.921
0.010 0.750 0.332
0.490 0.250 0.832
0.510 0.750 0.168
0.990 0.250 0.668
0.011 0.082 0.330
0.011 0.418 0.330
0.039 0.750 0.993
0.151 0.750 0.796
0.153 0.250 0.876
0.347 0.750 0.376
0.349 0.250 0.296
0.461 0.250 0.493
0.489 0.582 0.830
0.489 0.918 0.830
0.511 0.082 0.170
0.511 0.418 0.170
0.539 0.750 0.507
0.651 0.750 0.704
0.653 0.250 0.624
0.847 0.750 0.124
0.849 0.250 0.204
0.961 0.250 0.007
0.989 0.582 0.670
0.989 0.918 0.670
0.085 0.546 0.329
0.085 0.954 0.329
0.134 0.250 0.992
0.134 0.750 0.674
0.139 0.250 0.668
0.148 0.750 0.974
0.352 0.250 0.474
0.361 0.750 0.168
0.366 0.250 0.174
0.366 0.750 0.492
0.415 0.046 0.829
0.415 0.454 0.829
0.585 0.546 0.171
0.585 0.954 0.171
0.634 0.250 0.508
0.634 0.750 0.826
0.639 0.250 0.832
0.648 0.750 0.526
0.852 0.250 0.026
0.861 0.750 0.332
0.866 0.250 0.326
0.866 0.750 0.008
0.915 0.046 0.671
0.915 0.454 0.671
```

[4]
Here is Y2MnSb after structural relaxation from Alexandria via LeMat-Bulk. Energies are from GGA-PBEsol.

## Properties
The formation energy (no corrections) comes out at -295 meV per atom. The total magnetic moment is 6.51 μB/cell. The volume is 23.45 A^3/atom. For the density of states at the Fermi level, the calculation gives 4.66 states/eV/f.u.

The structure in POSCAR format:
```
Y2MnSb
1.0
3.926 0.000 0.000
0.000 4.611 0.000
0.000 0.000 10.363
Y Mn Sb
4 2 2
direct
0.000 0.000 0.000
0.000 0.500 0.230
0.500 0.000 0.730
0.500 0.500 0.500
0.000 0.500 0.762
0.500 0.000 0.262
0.000 0.000 0.456
0.500 0.500 0.956
```

[5]
Here is Cr2PtW after structural relaxation from Alexandria via LeMat-Bulk. Energies are from GGA-PBEsol.

## Properties
The total magnetic moment is 0.01 μB/cell. The volume is 13.38 A^3/atom. For the total energy, the calculation gives -10.223 eV per atom. For the density of states at the Fermi level, the calculation gives 5.05 states/eV/f.u.

The structure in POSCAR format:
```
Cr2PtW
1.0
3.787 0.000 0.000
0.000 3.787 0.000
0.000 0.000 7.463
Cr Pt W
4 2 2
direct
0.000 0.500 0.250
0.000 0.500 0.750
0.500 0.000 0.250
0.500 0.000 0.750
0.000 0.000 0.000
0.500 0.500 0.500
0.000 0.000 0.500
0.500 0.500 0.000
```

[6]
Here is TcMo after structural relaxation from Alexandria via LeMat-Bulk. Energies are from GGA-PBEsol.

## Properties
The total magnetic moment is 0.00 μB/cell. The volume is 14.69 A^3/atom. For the total energy, the calculation gives -11.414 eV per atom. For the density of states at the Fermi level, the calculation gives 2.10 states/eV/f.u.

The structure in POSCAR format:
```
TcMo
1.0
2.698 0.000 0.000
0.000 4.336 0.000
-0.974 0.000 5.022
Tc Mo
2 2
direct
0.155 0.250 0.372
0.845 0.750 0.628
0.391 0.750 0.129
0.609 0.250 0.871
```

[7]
Here is Ba2SrP2O8 after structural relaxation from Alexandria via LeMat-Bulk. Energies are from GGA-PBEsol.

## Properties
The formation energy (no corrections) comes out at -2907 meV per atom. The total magnetic moment is 0.00 μB/cell. The volume is 14.06 A^3/atom. For the density of states at the Fermi level, the calculation gives 0.00 states/eV/f.u.

The structure in POSCAR format:
```
Ba2SrP2O8
1.0
2.764 1.596 6.908
-2.764 1.596 6.908
0.000 -3.191 6.908
Ba Sr P O
2 1 2 8
direct
0.207 0.207 0.207
0.793 0.793 0.793
0.000 0.000 0.000
0.404 0.404 0.404
0.596 0.596 0.596
0.264 0.724 0.724
0.276 0.276 0.736
0.276 0.736 0.276
0.330 0.330 0.330
0.670 0.670 0.670
0.724 0.264 0.724
0.724 0.724 0.264
0.736 0.276 0.276
```

[8]
Here is CaLaCo2 after structural relaxation from Alexandria via LeMat-Bulk. Energies are from GGA-PBEsol.

## Properties
The total magnetic moment is 2.27 μB/cell. The volume is 21.41 A^3/atom. For the total energy, the calculation gives -5.496 eV per atom. For the density of states at the Fermi level, the calculation gives 4.80 states/eV/f.u.

The structure in POSCAR format:
```
CaLaCo2
1.0
3.271 0.000 0.000
0.000 3.271 0.000
0.000 0.000 8.006
Ca La Co
1 1 2
direct
0.000 0.000 0.000
0.500 0.500 0.577
0.000 0.000 0.340
0.500 0.500 0.256
```

[9]
Here is MgGaP2 after structural relaxation from Alexandria via LeMat-Bulk. Energies are from GGA-PBEsol.

## Properties
The total magnetic moment is 0.00 μB/cell. The volume is 22.06 A^3/atom. For the total energy, the calculation gives -4.330 eV per atom. For the density of states at the Fermi level, the calculation gives 3.12 states/eV/f.u.

The structure in POSCAR format:
```
MgGaP2
1.0
5.839 0.000 0.000
0.000 5.839 0.000
0.000 0.000 10.354
Mg Ga P
4 4 8
direct
0.000 0.000 0.000
0.000 0.500 0.250
0.500 0.000 0.750
0.500 0.500 0.500
0.000 0.000 0.500
0.000 0.500 0.750
0.500 0.000 0.250
0.500 0.500 0.000
0.222 0.250 0.625
0.250 0.722 0.875
0.250 0.778 0.375
0.278 0.250 0.125
0.722 0.750 0.125
0.750 0.222 0.375
0.750 0.278 0.875
0.778 0.750 0.625
```

[10]
Here is ScCrP2 after structural relaxation from Alexandria via LeMat-Bulk. Energies are from GGA-PBEsol.

## Properties
The total magnetic moment is 0.86 μB/cell. The volume is 14.69 A^3/atom. For the total energy, the calculation gives -7.135 eV per atom. For the density of states at the Fermi level, the calculation gives 3.89 states/eV/f.u.

The structure in POSCAR format:
```
ScCrP2
1.0
2.990 0.000 0.000
-1.495 2.589 0.000
0.000 0.000 22.767
Sc Cr P
3 3 6
direct
0.000 0.000 0.000
0.333 0.667 0.667
0.667 0.333 0.333
0.000 0.000 0.239
0.333 0.667 0.906
0.667 0.333 0.572
0.000 0.000 0.506
0.000 0.000 0.759
0.333 0.667 0.173
0.333 0.667 0.426
0.667 0.333 0.092
0.667 0.333 0.840
```

[11]
Here is Rb3AlAg after structural relaxation from Alexandria via LeMat-Bulk. Energies are from GGA-PBEsol.

## Properties
The total magnetic moment is 0.00 μB/cell. The volume is 54.58 A^3/atom. For the total energy, the calculation gives -1.560 eV per atom. For the density of states at the Fermi level, the calculation gives 5.39 states/eV/f.u.

The structure in POSCAR format:
```
Rb3AlAg
1.0
6.487 0.000 0.000
0.000 6.487 0.000
0.000 0.000 6.487
Rb Al Ag
3 1 1
direct
0.000 0.000 0.500
0.000 0.500 0.000
0.500 0.000 0.000
0.500 0.500 0.500
0.000 0.000 0.000
```

[12]
Here is MgCdAg2 after structural relaxation from Alexandria via LeMat-Bulk. Energies are from GGA-PBEsol.

## Properties
The total magnetic moment is 0.00 μB/cell. The volume is 17.89 A^3/atom. For the total energy, the calculation gives -2.554 eV per atom. For the density of states at the Fermi level, the calculation gives 1.03 states/eV/f.u.

The structure in POSCAR format:
```
MgCdAg2
1.0
3.212 0.000 0.000
0.000 3.500 0.000
0.000 0.000 6.366
Mg Cd Ag
1 1 2
direct
0.000 0.000 0.000
0.000 0.000 0.500
0.500 0.500 0.243
0.500 0.500 0.757
```